Computed, not measured: a relaxed ZrRe2Br crystal at the PBE level of DFT.

extended XYZ file:
```
4
Lattice="1.583 -2.465 0.000 1.583 2.465 0.000 0.000 0.000 9.258" Properties=species:S:1:pos:R:3 pbc="T T T"
Zr 0.000 0.000 0.000
Re 1.583 0.000 2.227
Re 1.583 0.000 7.031
Br 0.000 0.000 4.629
```

## Properties
volume = 72 Å³/cell
space group = No. 65
final energy = -8.03 eV/atom
crystal system = orthorhombic
E_form (uncorrected) = 0.74 eV per atom
offset from the most stable computed form = 1.28 eV/f.u.

---

Computed, not measured: a relaxed Zr2ReBr crystal at the PBE level of DFT.

extended XYZ file:
```
4
Lattice="1.703 0.983 8.413 -1.703 0.983 8.413 0.000 -1.967 8.413" Properties=species:S:1:pos:R:3 pbc="T T T"
Zr 0.000 0.000 6.075
Zr 0.000 0.000 19.163
Re 0.000 0.000 12.619
Br 0.000 0.000 0.000
```

## Properties
volume = 85 Å³/cell
space group = No. 166
final energy = -8.00 eV/atom
crystal system = trigonal
E_form (uncorrected) = -0.20 eV per atom
offset from the most stable computed form = 1.06 eV/f.u.

---

Computed, not measured: a relaxed Zr2ReBr crystal at the PBE level of DFT.

extended XYZ file:
```
8
Lattice="-2.916 2.916 6.727 2.916 -2.916 6.727 2.916 2.916 -6.727" Properties=species:S:1:pos:R:3 pbc="T T T"
Zr 4.374 1.177 -1.682
Zr 1.177 1.458 1.682
Zr -1.458 1.739 5.045
Zr 1.739 1.458 8.409
Re 0.000 0.000 0.000
Re 0.000 2.916 3.364
Br 2.916 0.000 3.364
Br 0.000 0.000 6.727
```

## Properties
volume = 229 Å³/cell
space group = No. 122
final energy = -7.20 eV/atom
crystal system = tetragonal
E_form (uncorrected) = 0.61 eV per atom
offset from the most stable computed form = 4.27 eV/f.u.

---

Computed, not measured: a relaxed ZrRe2Br crystal at the PBE level of DFT.

extended XYZ file:
```
4
Lattice="-1.866 1.866 5.185 1.866 -1.866 5.185 1.866 1.866 -5.185" Properties=species:S:1:pos:R:3 pbc="T T T"
Zr 0.000 0.000 0.000
Re 1.866 0.000 2.593
Re 0.000 1.866 2.593
Br 0.000 0.000 5.185
```

## Properties
volume = 72 Å³/cell
space group = No. 139
final energy = -8.08 eV/atom
crystal system = tetragonal
E_form (uncorrected) = 0.70 eV per atom
offset from the most stable computed form = 1.10 eV/f.u.

---

Computed, not measured: a relaxed Zr2ReBr crystal at the PBE level of DFT.

extended XYZ file:
```
4
Lattice="3.765 0.000 0.000 0.000 3.765 0.000 0.000 0.000 6.429" Properties=species:S:1:pos:R:3 pbc="T T T"
Zr 0.000 0.000 0.000
Zr 1.883 1.883 2.037
Re 1.883 1.883 5.963
Br 0.000 0.000 3.394
```

## Properties
volume = 91 Å³/cell
space group = No. 99
final energy = -7.66 eV/atom
crystal system = tetragonal
E_form (uncorrected) = 0.15 eV per atom
offset from the most stable computed form = 2.43 eV/f.u.

---

Computed, not measured: a relaxed Zr2ReBr crystal at the PBE level of DFT.

extended XYZ file:
```
4
Lattice="3.153 -3.758 0.000 3.153 3.758 0.000 0.000 0.000 3.271" Properties=species:S:1:pos:R:3 pbc="T T T"
Zr 1.576 1.879 0.000
Zr 1.576 -1.879 0.000
Re 0.000 0.000 1.635
Br 3.153 0.000 1.635
```

## Properties
volume = 78 Å³/cell
space group = No. 65
final energy = -7.72 eV/atom
crystal system = orthorhombic
E_form (uncorrected) = 0.08 eV per atom
offset from the most stable computed form = 2.18 eV/f.u.

---

Computed, not measured: a relaxed ZrRe2Br crystal at the PBE level of DFT.

extended XYZ file:
```
4
Lattice="-1.572 2.387 4.698 1.572 -2.387 4.698 1.572 2.387 -4.698" Properties=species:S:1:pos:R:3 pbc="T T T"
Zr 0.000 0.000 0.000
Re 0.000 0.000 4.622
Re 0.000 2.387 1.985
Br 1.572 0.000 2.369
```

## Properties
volume = 70 Å³/cell
space group = No. 44
final energy = -8.12 eV/atom
crystal system = orthorhombic
E_form (uncorrected) = 0.66 eV per atom
offset from the most stable computed form = 0.94 eV/f.u.

---

Computed, not measured: a relaxed Zr2ReBr crystal at the PBE level of DFT.

extended XYZ file:
```
4
Lattice="3.267 0.000 0.000 0.000 3.333 0.000 0.000 0.000 8.036" Properties=species:S:1:pos:R:3 pbc="T T T"
Zr 0.000 0.000 1.603
Zr 0.000 0.000 6.433
Re 1.633 1.667 0.000
Br 1.633 0.000 4.018
```

## Properties
volume = 88 Å³/cell
space group = No. 47
final energy = -8.27 eV/atom
crystal system = orthorhombic
E_form (uncorrected) = -0.46 eV per atom
offset from the most stable computed form = 0.00 eV/f.u.

---

Computed, not measured: a relaxed Zr2ReBr crystal at the PBE level of DFT.

extended XYZ file:
```
4
Lattice="2.303 -2.308 0.000 2.303 2.308 0.000 0.000 0.000 7.949" Properties=species:S:1:pos:R:3 pbc="T T T"
Zr 0.000 0.000 1.619
Zr 0.000 0.000 6.329
Re 2.303 0.000 0.000
Br 2.303 0.000 3.974
```

## Properties
volume = 84 Å³/cell
space group = No. 65
final energy = -8.16 eV/atom
crystal system = orthorhombic
E_form (uncorrected) = -0.36 eV per atom
offset from the most stable computed form = 0.41 eV/f.u.

---

Computed, not measured: a relaxed Zr2ReBr crystal at the PBE level of DFT.

extended XYZ file:
```
4
Lattice="-1.671 1.713 7.778 1.671 -1.713 7.778 1.671 1.713 -7.778" Properties=species:S:1:pos:R:3 pbc="T T T"
Zr 0.000 0.000 0.000
Zr 0.000 1.713 4.431
Re 0.000 0.000 6.451
Br 1.671 0.000 2.575
```

## Properties
volume = 89 Å³/cell
space group = No. 44
final energy = -7.93 eV/atom
crystal system = orthorhombic
E_form (uncorrected) = -0.12 eV per atom
offset from the most stable computed form = 1.36 eV/f.u.

---

Computed, not measured: a relaxed Zr3ReBr crystal at the PBE level of DFT.

extended XYZ file:
```
5
Lattice="5.142 0.000 0.000 0.000 5.142 0.000 0.000 0.000 5.142" Properties=species:S:1:pos:R:3 pbc="T T T"
Zr 0.000 0.000 2.571
Zr 0.000 2.571 0.000
Zr 2.571 0.000 0.000
Re 0.000 0.000 0.000
Br 2.571 2.571 2.571
```

## Properties
volume = 136 Å³/cell
space group = No. 221
final energy = -7.43 eV/atom
crystal system = cubic
E_form (uncorrected) = 0.52 eV per atom
offset from the most stable computed form = 0.00 eV/f.u.

---

Computed, not measured: a relaxed Zr2ReBr crystal at the PBE level of DFT.

extended XYZ file:
```
4
Lattice="3.312 -3.768 0.000 3.312 3.768 0.000 -0.586 0.000 3.134" Properties=species:S:1:pos:R:3 pbc="T T T"
Zr 1.656 1.884 0.000
Zr 1.656 -1.884 0.000
Re -0.293 0.000 1.567
Br 3.019 0.000 1.567
```

## Properties
volume = 78 Å³/cell
space group = No. 12
final energy = -7.74 eV/atom
crystal system = monoclinic
E_form (uncorrected) = 0.06 eV per atom
offset from the most stable computed form = 2.09 eV/f.u.

---

Computed, not measured: a relaxed ZrRe2Br crystal at the PBE level of DFT.

extended XYZ file:
```
4
Lattice="4.699 -1.664 0.000 4.699 1.664 0.000 -1.650 0.000 4.957" Properties=species:S:1:pos:R:3 pbc="T T T"
Zr 0.000 0.000 0.000
Re 0.522 0.000 2.998
Re 3.593 0.000 2.462
Br 6.821 0.000 0.621
```

## Properties
volume = 78 Å³/cell
space group = No. 8
final energy = -8.32 eV/atom
crystal system = monoclinic
E_form (uncorrected) = 0.46 eV per atom
offset from the most stable computed form = 0.12 eV/f.u.

---

Computed, not measured: a relaxed Zr2ReBr crystal at the PBE level of DFT.

extended XYZ file:
```
4
Lattice="0.000 3.398 3.398 3.398 0.000 3.398 3.398 3.398 0.000" Properties=species:S:1:pos:R:3 pbc="T T T"
Zr 0.000 0.000 0.000
Zr 1.699 1.699 1.699
Re 5.097 5.097 5.097
Br 3.398 3.398 3.398
```

## Properties
volume = 78 Å³/cell
space group = No. 216
final energy = -7.11 eV/atom
crystal system = cubic
E_form (uncorrected) = 0.70 eV per atom
offset from the most stable computed form = 4.63 eV/f.u.

---

Computed, not measured: a relaxed ZrRe2Br crystal at the PBE level of DFT.

extended XYZ file:
```
4
Lattice="3.213 0.000 0.000 0.000 3.213 0.000 0.000 0.000 6.800" Properties=species:S:1:pos:R:3 pbc="T T T"
Zr 0.000 0.000 0.000
Re 1.607 1.607 1.711
Re 1.607 1.607 5.089
Br 0.000 0.000 3.400
```

## Properties
volume = 70 Å³/cell
space group = No. 123
final energy = -7.97 eV/atom
crystal system = tetragonal
E_form (uncorrected) = 0.81 eV per atom
offset from the most stable computed form = 1.55 eV/f.u.

---

Computed, not measured: a relaxed ZrRe2Br crystal at the PBE level of DFT.

extended XYZ file:
```
4
Lattice="2.599 -4.347 0.000 2.599 4.347 0.000 0.000 0.000 3.177" Properties=species:S:1:pos:R:3 pbc="T T T"
Zr 0.000 0.000 0.000
Re 1.300 2.174 1.588
Re 1.300 -2.174 1.588
Br 2.599 0.000 0.000
```

## Properties
volume = 72 Å³/cell
space group = No. 65
final energy = -7.94 eV/atom
crystal system = orthorhombic
E_form (uncorrected) = 0.84 eV per atom
offset from the most stable computed form = 1.64 eV/f.u.

---

Computed, not measured: a relaxed RhBr crystal at the PBE level of DFT.

extended XYZ file:
```
6
Lattice="8.312 -1.856 0.000 8.312 1.856 0.000 -1.987 0.000 5.413" Properties=species:S:1:pos:R:3 pbc="T T T"
Rh 0.000 0.000 0.000
Rh 0.306 0.000 4.417
Rh 7.047 0.000 3.685
Br 8.577 0.000 1.680
Br 10.112 0.000 5.178
Br 13.512 0.000 3.178
```

## Properties
volume = 167 Å³/cell
space group = No. 8
final energy = -4.35 eV/atom
crystal system = monoclinic
E_form (uncorrected) = 0.16 eV per atom

---

Computed, not measured: a relaxed RhBr crystal at the PBE level of DFT.

extended XYZ file:
```
8
Lattice="-3.945 3.945 3.945 3.945 -3.945 3.945 3.945 3.945 -3.945" Properties=species:S:1:pos:R:3 pbc="T T T"
Rh 0.930 0.930 -0.930
Rh 0.930 -0.930 0.930
Rh -0.930 0.930 0.930
Rh 3.015 3.015 3.015
Br 2.358 2.358 -2.358
Br 2.358 -2.358 2.358
Br 1.587 1.587 1.587
Br -2.358 2.358 2.358
```

## Properties
volume = 246 Å³/cell
space group = No. 217
final energy = -4.11 eV/atom
crystal system = cubic
E_form (uncorrected) = 0.40 eV per atom

---

Computed, not measured: a relaxed RhBr crystal at the PBE level of DFT.

extended XYZ file:
```
12
Lattice="4.399 0.000 0.000 0.000 9.747 0.000 0.000 0.000 5.734" Properties=species:S:1:pos:R:3 pbc="T T T"
Rh 1.100 0.074 0.706
Rh 1.100 4.799 0.706
Rh 1.100 7.310 1.689
Rh 3.299 2.437 4.045
Rh 3.299 4.948 5.028
Rh 3.299 9.673 5.028
Br 1.100 2.437 5.136
Br 1.100 5.701 3.836
Br 1.100 8.919 3.836
Br 3.299 0.828 1.897
Br 3.299 4.045 1.897
Br 3.299 7.310 0.598
```

## Properties
volume = 246 Å³/cell
space group = No. 59
final energy = -4.25 eV/atom
crystal system = orthorhombic
E_form (uncorrected) = 0.26 eV per atom

---

Computed, not measured: a relaxed RhBr crystal at the PBE level of DFT.

extended XYZ file:
```
2
Lattice="0.000 2.670 2.670 2.670 0.000 2.670 2.670 2.670 0.000" Properties=species:S:1:pos:R:3 pbc="T T T"
Rh 0.000 0.000 0.000
Br 2.670 2.670 2.670
```

## Properties
volume = 38 Å³/cell
space group = No. 225
final energy = -3.98 eV/atom
crystal system = cubic
E_form (uncorrected) = 0.53 eV per atom